Here is crystalline MnBePb at its relaxed geometry from Alexandria. Energies are from PBE.

```
MnBePb
1.0
3.2081 0.0000 0.0000
-1.6040 2.7783 0.0000
0.0000 0.0000 6.2117
Pb Be Mn
1 1 1
Direct
0.3333 0.6667 0.6807
0.0000 0.0000 0.0310
0.6667 0.3333 0.2884
```

Calculated values
Total energy in eV for the cell shown: -14.42
Total moment in μB per formula unit: 3.69
Space-group type: No. 156
Volume in Å³/f.u.: 55.36

***

Here is crystalline MnBe2Pb at its relaxed geometry from Alexandria. Energies are from PBE.

```
MnBe2Pb
1.0
-3.6687 2.0381 -2.7173
-4.6482 0.0714 1.8402
4.6263 1.2133 1.4569
Pb Be Mn
1 2 1
Direct
0.2710 0.7710 0.5000
0.0235 0.0235 0.0000
0.6897 0.1897 0.5000
0.5158 0.5158 0.0000
```

Calculated values
Total energy in eV for the cell shown: -18.28
Total moment in μB per formula unit: 1.57
Space-group type: No. 44
Volume in Å³/f.u.: 55.18

***

Here is crystalline Mn2Be2Pb at its relaxed geometry from Alexandria. Energies are from PBE.

```
Mn2Be2Pb
1.0
-0.3636 2.8076 -1.3141
-0.6533 -1.3628 -2.7309
-8.1327 0.6140 -0.1445
Pb Be Mn
1 2 2
Direct
0.0000 0.0000 0.0000
0.7500 0.2500 0.5000
0.2500 0.7500 0.5000
0.3678 0.3678 0.2645
0.6322 0.6322 0.7355
```

Calculated values
Total energy in eV for the cell shown: -26.84
Total moment in μB per formula unit: 7.10
Space-group type: No. 139
Volume in Å³/f.u.: 76.50

***

Here is crystalline Mn3BePb at its relaxed geometry from Alexandria. Energies are from PBE.

```
Mn3BePb
1.0
5.0846 0.0000 0.0000
0.0000 5.0846 0.0000
0.0000 0.0000 5.0846
Pb Be Mn
1 1 3
Direct
0.0000 0.0000 0.0000
0.5000 0.5000 0.5000
0.0000 0.5000 0.0000
0.0000 0.0000 0.5000
0.5000 0.0000 0.0000
```

Calculated values
Total energy in eV for the cell shown: -26.42
Total moment in μB per formula unit: 11.81
Space-group type: No. 221
Volume in Å³/f.u.: 131.45

***

Here is crystalline Mn3BePb at its relaxed geometry from Alexandria. Energies are from PBE.

```
Mn3BePb
1.0
4.2926 0.0000 0.0000
0.0000 4.2926 0.0000
0.0000 0.0000 4.2926
Pb Be Mn
1 1 3
Direct
0.5000 0.5000 0.5000
0.0000 0.0000 0.0000
0.0000 0.5000 0.0000
0.0000 0.0000 0.5000
0.5000 0.0000 0.0000
```

Calculated values
Total energy in eV for the cell shown: -32.72
Total moment in μB per formula unit: 9.83
Space-group type: No. 221
Volume in Å³/f.u.: 79.10

***

Here is crystalline MnBePb2 at its relaxed geometry from Alexandria. Energies are from PBE.

```
MnBePb2
1.0
-1.5289 -2.9104 -2.1773
3.1506 -2.2365 0.7773
-0.7745 -2.9933 4.5449
Pb Be Mn
2 1 1
Direct
0.0000 0.9814 0.9102
0.5000 0.2703 0.3360
0.0000 0.6900 0.4972
0.5000 0.5583 0.7566
```

Calculated values
Total energy in eV for the cell shown: -18.68
Total moment in μB per formula unit: 2.79
Space-group type: No. 6
Volume in Å³/f.u.: 79.72

***

Here is crystalline MnBePb4 at its relaxed geometry from Alexandria. Energies are from PBE.

```
MnBePb4
1.0
0.0000 4.4990 4.4990
4.4990 0.0000 4.4990
4.4990 4.4990 0.0000
Mn Be Pb
1 1 4
Direct
0.0000 0.0000 0.0000
0.7500 0.7500 0.7500
0.8756 0.3748 0.3748
0.3748 0.3748 0.8756
0.3748 0.8756 0.3748
0.3748 0.3748 0.3748
```

Calculated values
Total energy in eV for the cell shown: -22.21
Total moment in μB per formula unit: 4.59
Space-group type: No. 216
Volume in Å³/f.u.: 182.13

***

Here is crystalline MnBe2Pb at its relaxed geometry from Alexandria. Energies are from PBE.

```
MnBe2Pb
1.0
3.0251 0.0000 0.0000
0.0000 3.0251 0.0000
0.0000 0.0000 6.5418
Pb Be Mn
1 2 1
Direct
0.5000 0.5000 0.7603
0.0000 0.0000 0.0808
0.5000 0.5000 0.2337
0.0000 0.0000 0.4253
```

Calculated values
Total energy in eV for the cell shown: -18.22
Total moment in μB per formula unit: 3.08
Space-group type: No. 99
Volume in Å³/f.u.: 59.86

***

Here is crystalline MnBe3Pb at its relaxed geometry from Alexandria. Energies are from PBE.

```
MnBe3Pb
1.0
4.6333 0.0000 0.0000
0.0000 4.6333 0.0000
0.0000 0.0000 4.6333
Pb Be Mn
1 3 1
Direct
0.0000 0.0000 0.0000
0.0000 0.5000 0.0000
0.0000 0.0000 0.5000
0.5000 0.0000 0.0000
0.5000 0.5000 0.5000
```

Calculated values
Total energy in eV for the cell shown: -16.14
Total moment in μB per formula unit: 3.90
Space-group type: No. 221
Volume in Å³/f.u.: 99.47

***

Here is crystalline MnBePb2 at its relaxed geometry from Alexandria. Energies are from PBE.

```
MnBePb2
1.0
3.2077 0.0000 0.0000
0.0000 3.2080 0.0000
0.0000 0.0000 8.3014
Pb Be Mn
2 1 1
Direct
0.0000 0.0000 0.9266
0.5000 0.5000 0.3209
0.0000 0.0000 0.5705
0.5000 0.5000 0.6821
```

Calculated values
Total energy in eV for the cell shown: -18.78
Total moment in μB per formula unit: 3.26
Space-group type: No. 99
Volume in Å³/f.u.: 85.42

***

Here is crystalline MnBe2Pb at its relaxed geometry from Alexandria. Energies are from PBE.

```
MnBe2Pb
1.0
-4.5729 -0.5927 1.0296
-0.5858 -2.6500 3.8675
2.6331 3.8077 -0.9443
Pb Be Mn
1 2 1
Direct
0.2500 0.7500 0.5000
0.0000 0.0000 0.0000
0.5000 0.5000 0.0000
0.7500 0.2500 0.5000
```

Calculated values
Total energy in eV for the cell shown: -17.95
Total moment in μB per formula unit: 1.75
Space-group type: No. 139
Volume in Å³/f.u.: 55.08

***

Here is crystalline MnBe2Pb at its relaxed geometry from Alexandria. Energies are from PBE.

```
MnBe2Pb
1.0
3.9011 0.0000 0.0000
0.0000 3.9011 0.0000
0.0000 0.0000 3.6581
Pb Be Mn
1 2 1
Direct
0.0000 0.5000 0.5000
0.0000 0.0000 0.0000
0.5000 0.5000 0.0000
0.5000 0.0000 0.5000
```

Calculated values
Total energy in eV for the cell shown: -18.28
Total moment in μB per formula unit: 2.75
Space-group type: No. 123
Volume in Å³/f.u.: 55.67